VASP calculation (PBE) on a relaxed Ac2DyS3 crystal.

Properties
Formation energy without anion corrections ... -1930 meV/atom
DFT total energy ... -6.1300 eV/atom
Density of states at the Fermi level ... 0.4712 states/eV per atom
SG ... I4/mmm, No. 139

```
Ac2DyS3
1.0
4.099 -0.001 -0.934
-0.213 4.093 -0.934
-0.032 -0.032 9.321
S Ac Dy
3 2 1
Direct
0.591 0.593 0.188 S
0.934 0.936 0.874 S
0.277 0.279 0.560 S
0.766 0.768 0.538 Ac
0.102 0.104 0.210 Ac
0.434 0.436 0.874 Dy
```

VASP calculation (PBE) on a relaxed Ac6DyS8 crystal.

Properties
Formation energy without anion corrections ... -2043 meV/atom
DFT total energy ... -6.1944 eV/atom
Density of states at the Fermi level ... 0.5037 states/eV per atom
SG ... Fm-3m, No. 225

```
Ac6DyS8
1.0
-1.151 -0.247 8.462
-7.823 -1.212 3.214
-1.947 -7.384 3.833
S Ac Dy
8 6 1
Direct
0.232 0.768 0.768 S
0.232 0.232 0.768 S
0.768 0.232 0.768 S
0.750 0.750 0.750 S
0.232 0.768 0.232 S
0.768 0.232 0.232 S
0.768 0.768 0.232 S
0.250 0.250 0.250 S
0.000 0.000 0.500 Ac
0.000 0.500 0.000 Ac
0.500 0.000 0.500 Ac
0.500 0.000 0.000 Ac
0.000 0.500 0.500 Ac
0.500 0.500 0.000 Ac
0.000 0.000 0.000 Dy
```

VASP calculation (PBE) on a relaxed AcDyS2 crystal.

Properties
Offset from the most stable computed form ... 64 meV per atom
Formation energy without anion corrections ... -1925 meV/atom
DFT total energy ... -6.1667 eV/atom
Density of states at the Fermi level ... 0.2940 states/eV per atom
SG ... R3m, No. 160

```
AcDyS2
1.0
4.004 0.000 0.000
2.002 3.468 0.000
2.002 1.156 7.205
Dy S Ac
1 2 1
Direct
0.672 0.672 0.985 Dy
0.261 0.261 0.217 S
0.072 0.072 0.783 S
0.495 0.495 0.515 Ac
```

VASP calculation (PBE) on a relaxed Ac2DyS4 crystal.

Properties
Offset from the most stable computed form ... 169 meV per atom
Formation energy without anion corrections ... -1870 meV/atom
DFT total energy ... -6.0594 eV/atom
Density of states at the Fermi level ... 0.3863 states/eV per atom
SG ... P2_1/m, No. 11

```
Ac2DyS4
1.0
-4.119 -3.005 5.523
-3.761 -3.652 -4.792
6.479 -5.139 -1.168
S Ac Dy
8 4 2
Direct
0.516 0.003 0.744 S
0.484 0.997 0.256 S
0.975 0.750 0.877 S
0.011 0.250 0.640 S
0.989 0.750 0.360 S
0.025 0.250 0.123 S
0.484 0.503 0.256 S
0.516 0.497 0.744 S
0.669 0.750 0.044 Ac
0.331 0.250 0.956 Ac
0.707 0.750 0.545 Ac
0.293 0.250 0.455 Ac
0.798 0.250 0.827 Dy
0.202 0.750 0.173 Dy
```